Record 1
Compound: TbHo3Ir4
Source: Alexandria
Functional: PBE
Structure: relaxed

abc: 3.5758 4.7239 9.4478
angles: 90.00 90.00 90.00
With the nearest neighbours (Å) after each atom.
Space group Pmmm (No. 47)
One atom of each set of equivalent atoms:
Tb1 0.0000 0.0000 0.0000  8 Ir 2.96-2.98
Ho1 0.0000 0.0000 0.5000  8 Ir 2.95-2.96
Ho2 0.0000 0.5000 0.2510  8 Ir 2.96-2.97
Ir1 0.5000 0.0000 0.2517  6 Ho 2.95-2.96, 2 Tb 2.98
Ir2 0.5000 0.5000 0.0000  4 Tb 2.96, 4 Ho 2.97
Ir3 0.5000 0.5000 0.5000  8 Ho 2.96

Calculated values
Total energy, eV per atom: -7.5610
Crystal system: orthorhombic
Energy relative to the elements, eV/atom: -0.84



Record 2
Compound: TbHoZnIr
Source: Alexandria
Functional: PBE
Structure: relaxed

abc: 6.9676 6.9676 6.9676
angles: 90.00 90.00 90.00
With the nearest neighbours (Å) after each atom.
Space group F-43m (No. 216)
One atom of each set of equivalent atoms:
Tb1 0.0000 0.0000 0.0000  4 Ir 3.02, 4 Zn 3.02
Ho1 0.0000 0.0000 0.5000  4 Ir 3.02, 4 Zn 3.02
Zn1 0.2500 0.2500 0.7500  4 Tb 3.02, 4 Ho 3.02
Ir1 0.2500 0.2500 0.2500  4 Tb 3.02, 4 Ho 3.02

Calculated values
Total energy, eV per atom: -5.4686
Crystal system: cubic
Energy relative to the elements, eV/atom: -0.63



Record 3
Compound: HoTcIr
Source: Alexandria
Functional: PBE
Structure: relaxed

abc: 6.6901 6.6901 4.4084
angles: 90.00 90.00 120.00
With the nearest neighbours (Å) after each atom.
Space group P-62m (No. 189)
One atom of each set of equivalent atoms:
Ho1 0.0000 0.5820 0.0000  5 Ir 2.80-2.98
Tc1 0.0000 0.2369 0.5000  4 Ir 2.61-2.71, 2 Tc 2.74
Ir1 0.0000 0.0000 0.0000  6 Tc 2.71, 3 Ho 2.80
Ir2 0.3333 0.6667 0.5000  3 Tc 2.61

Calculated values
Total energy, eV per atom: -8.2762
Crystal system: hexagonal
Energy relative to the elements, eV/atom: -0.34



Record 4
Compound: HoThTcIr
Source: Alexandria
Functional: PBE
Structure: relaxed

abc: 6.9861 6.9861 6.9861
angles: 90.00 90.00 90.00
With the nearest neighbours (Å) after each atom.
Space group F-43m (No. 216)
One atom of each set of equivalent atoms:
Ho1 0.0000 0.0000 0.0000  4 Ir 3.03, 4 Tc 3.03
Th1 0.0000 0.0000 0.5000  4 Tc 3.03, 4 Ir 3.03
Tc1 0.2500 0.2500 0.2500  4 Th 3.03, 4 Ho 3.03
Ir1 0.2500 0.2500 0.7500  4 Th 3.03, 4 Ho 3.03

Calculated values
Total energy, eV per atom: -8.2439
Crystal system: cubic
Energy relative to the elements, eV/atom: -0.44



Record 5
Compound: HoZrTcIr
Source: Alexandria
Functional: PBE
Structure: relaxed

abc: 6.6868 6.6868 6.6868
angles: 90.00 90.00 90.00
With the nearest neighbours (Å) after each atom.
Space group F-43m (No. 216)
One atom of each set of equivalent atoms:
Ho1 0.0000 0.0000 0.0000  4 Tc 2.90, 4 Ir 2.90
Zr1 0.0000 0.0000 0.5000  4 Ir 2.90, 4 Tc 2.90
Tc1 0.2500 0.2500 0.2500  4 Zr 2.90, 4 Ho 2.90
Ir1 0.2500 0.2500 0.7500  4 Zr 2.90, 4 Ho 2.90

Calculated values
Total energy, eV per atom: -8.6227
Crystal system: cubic
Energy relative to the elements, eV/atom: -0.53



Record 6
Compound: Ho3Te2Ir
Source: Alexandria
Functional: PBE
Structure: relaxed

abc: 8.6639 12.1443 25.3144
angles: 90.00 90.00 90.00
With the nearest neighbours (Å) after each atom.
Space group Fddd (No. 70, origin choice 2)
One atom of each set of equivalent atoms:
Ho1 0.0860 0.3750 0.3750  2 Ir 2.79, 2 Te 3.06
Ho2 0.1043 0.3571 0.2160  2 Ir 2.77-2.83
Te1 0.1250 0.1250 0.3805  6 Ho 3.06-3.20
Te2 0.1250 0.1250 0.5461  6 Ho 3.11-3.27
Ir1 0.1250 0.1250 0.0417  6 Ho 2.77-2.83

Calculated values
Total energy, eV per atom: -5.9775
Energy relative to the elements, uncorrected, eV/f.u.: -6.99
Crystal system: orthorhombic